[1]
Compound: YTl2Se
Source: the Alexandria database
Functional: SCAN
Structure: PBEsol geometry

Results
raw formation energy = -0.68 eV per atom
magnetization = 0.00 Bohr magnetons per cell
space-group type = Immm, No. 71
total energy = -48.8412 eV per atom
relative energy among the computed polymorphs = 0 meV/atom
N(E_F) = 4.64 states/eV/cell

Lattice parameters (Å, degrees): 4.143 4.239 11.381 90.00 90.00 90.00
Element x y z (fractional)
1 Y 0.000 0.000 0.000
2 Y 0.500 0.500 0.500
3 Tl 0.000 0.500 0.245
4 Tl 0.000 0.500 0.755
5 Tl 0.500 0.000 0.255
6 Tl 0.500 0.000 0.745
7 Se 0.000 0.000 0.500
8 Se 0.500 0.500 0.000

***

[2]
Compound: Te2MoCl4O
Source: the Alexandria database
Functional: SCAN
Structure: PBEsol geometry

Results
raw formation energy = -0.94 eV per atom
magnetization = 4.00 Bohr magnetons per cell
space-group type = P2_1/c, No. 14
total energy = -19.3765 eV per atom

Lattice parameters (Å, degrees): 9.646 7.669 15.430 90.00 127.88 90.00
Element x y z (fractional)
1 Te 0.008 0.204 0.076
2 Te 0.008 0.296 0.576
3 Te 0.205 0.588 0.635
4 Te 0.205 0.912 0.135
5 Te 0.795 0.088 0.865
6 Te 0.795 0.412 0.365
7 Te 0.992 0.704 0.424
8 Te 0.992 0.796 0.924
9 Mo 0.293 0.157 0.444
10 Mo 0.293 0.343 0.944
11 Mo 0.707 0.657 0.056
12 Mo 0.707 0.843 0.556
13 Cl 0.018 0.054 0.300
14 Cl 0.018 0.446 0.800
15 Cl 0.272 0.507 0.066
16 Cl 0.272 0.993 0.566
17 Cl 0.338 0.241 0.316
18 Cl 0.338 0.259 0.816
19 Cl 0.395 0.667 0.918
20 Cl 0.395 0.833 0.418
21 Cl 0.605 0.167 0.582
22 Cl 0.605 0.333 0.082
23 Cl 0.662 0.741 0.184
24 Cl 0.662 0.759 0.684
25 Cl 0.728 0.007 0.434
26 Cl 0.728 0.493 0.934
27 Cl 0.982 0.554 0.200
28 Cl 0.982 0.946 0.700
29 O 0.244 0.151 0.967
30 O 0.244 0.349 0.467
31 O 0.756 0.651 0.533
32 O 0.756 0.849 0.033